# Re2SiNi

A geometry-optimized Re2SiNi structure (PBE, Alexandria).

Calculated values
The density of states at the Fermi level comes out at 3.26 states/eV/cell. The calculation puts the raw total energy at -8.939 eV per atom. The space group is No. 216. Its total moment is 0.00 μB/cell.

```
data_Re2SiNi
_chemical_formula_sum 'Re2 Si1 Ni1'
_symmetry_space_group_name_H-M 'P 1'
_symmetry_Int_Tables_number 1
_cell_length_a 4.2416
_cell_length_b 4.2416
_cell_length_c 4.2416
_cell_angle_alpha 60.00
_cell_angle_beta 60.00
_cell_angle_gamma 60.00
loop_
_symmetry_equiv_pos_as_xyz
'x,y,z'
loop_
_atom_site_label
_atom_site_fract_x
_atom_site_fract_y
_atom_site_fract_z
Ni1 0.5000 0.5000 0.5000
Re1 0.0000 0.0000 0.0000
Re2 0.7500 0.7500 0.7500
Si1 0.2500 0.2500 0.2500
```